# PBE RbTl2ReS4, optimized geometry
# Calculated density (g/cm3): 5.001
# Total energy (eV/atom): -4.760
# Magnetic moment (μB/atom): 0.23
data_RbTl2ReS4
_symmetry_space_group_name_H-M 'I -4'
_symmetry_Int_Tables_number 82
_cell_length_a 8.241
_cell_length_b 8.241
_cell_length_c 7.908
_cell_angle_alpha 90.00
_cell_angle_beta 90.00
_cell_angle_gamma 90.00
loop_
_symmetry_equiv_pos_as_xyz
'x,y,z'
'y,-x,-z'
'-x,-y,z'
'-y,x,-z'
'x+1/2,y+1/2,z+1/2'
'y+1/2,-x+1/2,-z+1/2'
'-x+1/2,-y+1/2,z+1/2'
'-y+1/2,x+1/2,-z+1/2'
loop_
_atom_site_label
_atom_site_fract_x
_atom_site_fract_y
_atom_site_fract_z
_atom_site_occupancy
Rb1 0.000 0.000 0.000 1
Tl1 0.000 0.000 0.500 1
Tl2 0.000 0.500 0.250 1
Re1 0.000 0.500 0.750 1
S1 0.143 0.335 0.585 1

# PBE Rb2TlReS4, optimized geometry
# Calculated density (g/cm3): 4.177
# Total energy (eV/atom): -4.787
# Magnetic moment (μB/atom): 0.22
data_Rb2TlReS4
_symmetry_space_group_name_H-M 'I -4'
_symmetry_Int_Tables_number 82
_cell_length_a 8.106
_cell_length_b 8.106
_cell_length_c 8.345
_cell_angle_alpha 90.00
_cell_angle_beta 90.00
_cell_angle_gamma 90.00
loop_
_symmetry_equiv_pos_as_xyz
'x,y,z'
'y,-x,-z'
'-x,-y,z'
'-y,x,-z'
'x+1/2,y+1/2,z+1/2'
'y+1/2,-x+1/2,-z+1/2'
'-x+1/2,-y+1/2,z+1/2'
'-y+1/2,x+1/2,-z+1/2'
loop_
_atom_site_label
_atom_site_fract_x
_atom_site_fract_y
_atom_site_fract_z
_atom_site_occupancy
Rb1 0.000 0.000 0.000 1
Rb2 0.000 0.500 0.250 1
Tl1 0.000 0.500 0.750 1
Re1 0.000 0.000 0.500 1
S1 0.149 0.174 0.646 1

# PBE RbReSb2, optimized geometry
# Calculated density (g/cm3): 9.284
# E above lowest polymorph (eV per atom): 0.568
# Total energy (eV/atom): -4.545
# Magnetic moment (μB/atom): 0.00
data_RbReSb2
_symmetry_space_group_name_H-M 'F m -3 m'
_symmetry_Int_Tables_number 225
_symmetry_space_group_name_Hall '-F 4 2 3'
_cell_length_a 7.170
_cell_length_b 7.170
_cell_length_c 7.170
_cell_angle_alpha 90.00
_cell_angle_beta 90.00
_cell_angle_gamma 90.00
loop_
_atom_site_label
_atom_site_fract_x
_atom_site_fract_y
_atom_site_fract_z
_atom_site_occupancy
Rb1 0.000 0.000 0.000 1
Re1 0.000 0.000 0.500 1
Sb1 0.250 0.250 0.250 1

Number 1: E_form (uncorrected) -0.43 eV per atom, density of states at the Fermi level 2.57 states/eV/f.u.. Number 2: E_form (uncorrected) -0.63 eV per atom, density of states at the Fermi level 3.14 states/eV/f.u.. Number 3: E_form (uncorrected) 0.87 eV per atom, density of states at the Fermi level 1.98 states/eV/f.u..